(1)
Compound: EuBRu
Source: the Alexandria database
Functional: PBE
Structure: optimized geometry

Values from the calculation:
- SG: P-6m2 (187)

Lattice parameters (Å, degrees): 3.6540 3.6540 4.5284 90.00 90.00 120.00
Fractional positions:
Eu  0.0000  0.0000  0.0000
B  0.6667  0.3333  0.5000
Ru  0.3333  0.6667  0.5000

***

(2)
Compound: EuB4Ru4
Source: the Alexandria database
Functional: PBE
Structure: optimized geometry

Values from the calculation:
- SG: I4_1/acd (142)

Lattice parameters (Å, degrees): 9.2633 9.2633 9.2633 132.05 132.05 70.15
Fractional positions:
Eu  0.1250  0.3750  0.7500
Eu  0.3750  0.1250  0.2500
Eu  0.6250  0.8750  0.7500
Eu  0.8750  0.6250  0.2500
B  0.0657  0.1240  0.2766
B  0.1240  0.3474  0.0583
B  0.1526  0.3760  0.4417
B  0.2109  0.9343  0.5583
B  0.2891  0.8474  0.7234
B  0.3474  0.7891  0.2234
B  0.3760  0.4343  0.2234
B  0.4343  0.7109  0.0583
B  0.5657  0.2891  0.9417
B  0.6240  0.5657  0.7766
B  0.6526  0.2109  0.7766
B  0.7109  0.1526  0.2766
B  0.7891  0.0657  0.4417
B  0.8474  0.6240  0.5583
B  0.8760  0.6526  0.9417
B  0.9343  0.8760  0.7234
Ru  0.0395  0.8215  0.9873
Ru  0.0522  0.0395  0.7179
Ru  0.1657  0.6785  0.7179
Ru  0.1785  0.6657  0.2179
Ru  0.3215  0.5395  0.4873
Ru  0.3343  0.0522  0.5127
Ru  0.4478  0.1657  0.9873
Ru  0.4605  0.4478  0.7821
Ru  0.5395  0.5522  0.2179
Ru  0.5522  0.8343  0.0127
Ru  0.6657  0.9478  0.4873
Ru  0.6785  0.4605  0.5127
Ru  0.8215  0.3343  0.7821
Ru  0.8343  0.3215  0.2821
Ru  0.9478  0.9605  0.2821
Ru  0.9605  0.1785  0.0127

***

(3)
Compound: EuB2Ru
Source: the Alexandria database
Functional: PBE
Structure: optimized geometry

Values from the calculation:
- SG: R-3m (166)

Lattice parameters (Å, degrees): 5.4261 5.4261 5.4261 39.49 39.49 39.49
Fractional positions:
Eu  0.0000  0.0000  0.0000
B  0.1964  0.1964  0.1964
B  0.8036  0.8036  0.8036
Ru  0.5000  0.5000  0.5000

***

no.,calculated formation energy (meV per atom),D(E_F) (states/eV/f.u.)
1,-205,6.849
2,-353,11.218
3,-36,5.895